Record 1
# TbPmMgIr | Alexandria | PBE | relaxed
data_TbPmMgIr
_chemical_formula_sum 'Tb1 Pm1 Mg1 Ir1'
_symmetry_space_group_name_H-M 'P 1'
_symmetry_Int_Tables_number 1
_symmetry_space_group_name_Hall 'P 1'
_cell_length_a 5.104
_cell_length_b 5.104
_cell_length_c 5.104
_cell_angle_alpha 60.00
_cell_angle_beta 60.00
_cell_angle_gamma 60.00
loop_
_atom_site_label
_atom_site_type_symbol
_atom_site_fract_x
_atom_site_fract_y
_atom_site_fract_z
_atom_site_occupancy
Mg1 Mg 0.500 0.500 0.500 1
Ir1 Ir 0.000 0.000 0.000 1
Tb1 Tb 0.750 0.750 0.750 1
Pm1 Pm 0.250 0.250 0.250 1
# Energy of formation from the pure elements (eV per atom): -0.381
# Total energy (eV per atom): -5.34
# Theoretical density (Mg/m³): 9.19
# N(E_F) (states/eV/f.u.): 2.704



Record 2
# LiRhAu2 | Alexandria | PBE | relaxed
data_LiRhAu2
_chemical_formula_sum 'Li1 Rh1 Au2'
_symmetry_space_group_name_H-M 'P 1'
_symmetry_Int_Tables_number 1
_symmetry_space_group_name_Hall 'P 1'
_cell_length_a 4.735
_cell_length_b 2.830
_cell_length_c 4.735
_cell_angle_alpha 90.00
_cell_angle_beta 90.00
_cell_angle_gamma 90.00
loop_
_atom_site_label
_atom_site_type_symbol
_atom_site_fract_x
_atom_site_fract_y
_atom_site_fract_z
_atom_site_occupancy
Rh1 Rh 0.500 0.625 0.871 1
Au1 Au 0.000 0.125 0.878 1
Au2 Au 0.500 0.125 0.371 1
Li1 Li 0.000 0.625 0.380 1
# Energy of formation from the pure elements (eV per atom): -0.255
# Total energy (eV per atom): -4.21
# Theoretical density (Mg/m³): 13.18
# N(E_F) (states/eV/f.u.): 1.870



Record 3
# LiZr2Pb | Alexandria | PBE | relaxed
data_LiZr2Pb
_chemical_formula_sum 'Li1 Zr2 Pb1'
_symmetry_space_group_name_H-M 'P 1'
_symmetry_Int_Tables_number 1
_symmetry_space_group_name_Hall 'P 1'
_cell_length_a 3.228
_cell_length_b 3.228
_cell_length_c 10.508
_cell_angle_alpha 90.00
_cell_angle_beta 90.00
_cell_angle_gamma 120.00
loop_
_atom_site_label
_atom_site_type_symbol
_atom_site_fract_x
_atom_site_fract_y
_atom_site_fract_z
_atom_site_occupancy
Li1 Li 0.333 0.667 0.000 1
Zr1 Zr 0.000 0.000 0.254 1
Zr2 Zr 0.000 0.000 0.746 1
Pb1 Pb 0.333 0.667 0.500 1
# Energy of formation from the pure elements (eV per atom): 0.158
# Total energy (eV per atom): -5.52
# Theoretical density (Mg/m³): 6.94
# N(E_F) (states/eV/f.u.): 4.618



Record 4
# Mg2Cr2Ge | Alexandria | PBE | relaxed
data_Mg2Cr2Ge
_chemical_formula_sum 'Mg4 Cr4 Ge2'
_symmetry_space_group_name_H-M 'P 1'
_symmetry_Int_Tables_number 1
_symmetry_space_group_name_Hall 'P 1'
_cell_length_a 7.559
_cell_length_b 7.559
_cell_length_c 3.276
_cell_angle_alpha 90.00
_cell_angle_beta 90.00
_cell_angle_gamma 90.00
loop_
_atom_site_label
_atom_site_type_symbol
_atom_site_fract_x
_atom_site_fract_y
_atom_site_fract_z
_atom_site_occupancy
Cr1 Cr 0.159 0.659 0.500 1
Cr2 Cr 0.659 0.841 0.500 1
Cr3 Cr 0.841 0.341 0.500 1
Cr4 Cr 0.341 0.159 0.500 1
Ge1 Ge 0.000 0.000 0.000 1
Ge2 Ge 0.500 0.500 0.000 1
Mg1 Mg 0.362 0.862 0.000 1
Mg2 Mg 0.862 0.638 0.000 1
Mg3 Mg 0.638 0.138 0.000 1
Mg4 Mg 0.138 0.362 0.000 1
# Energy of formation from the pure elements (eV per atom): 0.602
# Total energy (eV per atom): -4.81
# Energy relative to the lowest polymorph listed for this composition (meV per atom): 198.6
# Theoretical density (Mg/m³): 4.00
# N(E_F) (states/eV/f.u.): 3.481



Record 5
# NaBOsAu2 | Alexandria | PBE | relaxed
data_NaBOsAu2
_chemical_formula_sum 'Na1 B1 Os1 Au2'
_symmetry_space_group_name_H-M 'P 1'
_symmetry_Int_Tables_number 1
_symmetry_space_group_name_Hall 'P 1'
_cell_length_a 4.254
_cell_length_b 4.484
_cell_length_c 4.254
_cell_angle_alpha 90.00
_cell_angle_beta 90.00
_cell_angle_gamma 90.00
loop_
_atom_site_label
_atom_site_type_symbol
_atom_site_fract_x
_atom_site_fract_y
_atom_site_fract_z
_atom_site_occupancy
Os1 Os 0.500 0.500 0.500 1
B1 B 0.000 0.000 0.000 1
Au1 Au 0.000 0.000 0.500 1
Au2 Au 0.500 0.000 0.000 1
Na1 Na 0.000 0.500 0.000 1
# Energy of formation from the pure elements (eV per atom): 1.116
# Total energy (eV per atom): -4.04
# Theoretical density (Mg/m³): 12.64
# N(E_F) (states/eV/f.u.): 3.696



Record 6
# K2Tl2PdPt | Alexandria | PBE | relaxed
data_K2Tl2PdPt
_chemical_formula_sum 'K4 Tl4 Pd2 Pt2'
_symmetry_space_group_name_H-M 'P 1'
_symmetry_Int_Tables_number 1
_symmetry_space_group_name_Hall 'P 1'
_cell_length_a 6.420
_cell_length_b 6.950
_cell_length_c 9.272
_cell_angle_alpha 112.01
_cell_angle_beta 110.25
_cell_angle_gamma 90.00
loop_
_atom_site_label
_atom_site_type_symbol
_atom_site_fract_x
_atom_site_fract_y
_atom_site_fract_z
_atom_site_occupancy
K1 K 0.411 0.162 0.323 1
K2 K 0.589 0.838 0.677 1
K3 K 0.088 0.338 0.677 1
K4 K 0.912 0.662 0.323 1
Tl1 Tl 0.844 0.095 0.191 1
Tl2 Tl 0.347 0.595 0.191 1
Tl3 Tl 0.653 0.405 0.809 1
Tl4 Tl 0.156 0.905 0.809 1
Pd1 Pd 0.000 0.750 0.000 1
Pd2 Pd 0.000 0.250 0.000 1
Pt1 Pt 0.500 0.750 0.000 1
Pt2 Pt 0.500 0.250 0.000 1
# Energy of formation from the pure elements (eV per atom): -0.186
# Total energy (eV per atom): -3.21
# Theoretical density (Mg/m³): 7.36
# N(E_F) (states/eV/f.u.): 0.705